The following is a PBE calculation of crystalline NaSrZr2Cu at its relaxed geometry, from Alexandria.

Calculated values
Formation energy from the elements   0.594 eV per atom

Cell lengths 5.100, 5.100, 5.566 Å; angles 90.00, 90.00, 90.00 degrees
Element x y z (fractional)
Na1 0.000 0.000 0.000
Sr1 0.500 0.500 0.000
Zr1 0.000 0.500 0.500
Zr2 0.500 0.000 0.500
Cu1 0.000 0.000 0.500



The following is a PBE calculation of crystalline NaTa2Cu2 at its relaxed geometry, from Alexandria.

Calculated values
Formation energy from the elements   0.395 eV per atom

Cell lengths 8.068, 8.068, 2.661 Å; angles 90.00, 90.00, 90.00 degrees
Element x y z (fractional)
Na1 0.000 0.000 0.000
Na2 0.500 0.500 0.000
Ta1 0.124 0.376 0.500
Ta2 0.376 0.876 0.500
Ta3 0.624 0.124 0.500
Ta4 0.876 0.624 0.500
Cu1 0.169 0.669 0.000
Cu2 0.331 0.169 0.000
Cu3 0.669 0.831 0.000
Cu4 0.831 0.331 0.000



The following is a PBE calculation of crystalline NaTaCu2 at its relaxed geometry, from Alexandria.

Calculated values
Formation energy from the elements   0.597 eV per atom

Cell lengths 4.458, 4.458, 4.458 Å; angles 60.00, 60.00, 60.00 degrees
Element x y z (fractional)
Na1 0.000 0.000 0.000
Ta1 0.500 0.500 0.500
Cu1 0.250 0.250 0.250
Cu2 0.750 0.750 0.750



The following is a PBE calculation of crystalline NaTaCu2 at its relaxed geometry, from Alexandria.

Calculated values
Formation energy from the elements   0.985 eV per atom

Cell lengths 5.764, 5.764, 5.764 Å; angles 105.45, 105.45, 117.85 degrees
Element x y z (fractional)
Na1 0.000 0.000 0.000
Na2 0.750 0.250 0.500
Ta1 0.250 0.750 0.500
Ta2 0.500 0.500 0.000
Cu1 0.141 0.625 0.016
Cu2 0.375 0.391 0.516
Cu3 0.609 0.125 0.984
Cu4 0.875 0.859 0.484



Record-wise DOS at the Fermi energy values, in states/eV/cell: 6.6; 7.1; 1.3; 7.8
Record-wise E values, in eV per atom: -4.24; -6.25; -4.74; -4.36